! TaAsIr2Ru, optimized geometry, DFT PBE; values from VASP
! Crystal system   tetragonal
! Density of states at the Fermi level   5.580 states/eV/cell
! E_form   1.528 eV per atom
! Final energy   -35.86 eV per formula unit
! M_tot   0.0 μB per cell
&SYSTEM
  ibrav = 0, nat = 5, ntyp = 4
/
ATOMIC_SPECIES
Ru 101.07 Ru.upf
As 74.92 As.upf
Ir 192.22 Ir.upf
Ta 180.95 Ta.upf
ATOMIC_POSITIONS angstrom
Ru 0.000 0.000 0.000
As 1.794 -0.041 3.670
Ir 0.646 1.911 1.220
Ir -0.924 -0.936 1.956
Ta 2.073 -1.015 0.493
CELL_PARAMETERS angstrom
-1.848 -1.873 3.913
4.146 -2.031 0.986
1.292 3.823 2.440